Co2RhCl (GGA-PBE, optimized geometry); space-group type = P4mm; D(E_F) = 1.289 states/eV per atom; ΔE_f (raw) = 0.3359 eV per atom; calculated total energy = -5.517 eV per atom
1.0
-2.044 -0.973 -1.865
1.617 -2.390 -0.525
-3.000 -3.107 4.909
Co Rh Cl
2 1 1
Cartesian
-0.089 -0.092 0.145
-0.918 -2.412 -0.042
-1.372 -1.421 2.245
-2.548 -4.099 2.625